# GGA+U CrCd2F, optimized geometry
# E_tot = -3.2932 eV/atom
# total magnetic moment = 4.80 μB per formula unit
data_CrCd2F
_chemical_formula_sum 'Cr2 Cd4 F2'
_space_group_name_H-M_alt 'P 1'
_space_group_IT_number 1
_cell_length_a 7.428
_cell_length_b 7.428
_cell_length_c 5.960
_cell_angle_alpha 51.46
_cell_angle_beta 51.46
_cell_angle_gamma 90.00
loop_
_space_group_symop_operation_xyz
'x,y,z'
loop_
_atom_site_label
_atom_site_fract_x
_atom_site_fract_y
_atom_site_fract_z
_atom_site_occupancy
Cr1 0.000 0.000 0.000 1
Cr2 0.750 0.250 0.500 1
F1 0.500 0.500 0.000 1
F2 0.250 0.750 0.500 1
Cd1 0.579 0.125 0.250 1
Cd2 0.171 0.625 0.250 1
Cd3 0.375 0.421 0.750 1
Cd4 0.875 0.829 0.750 1